(1)
# PBE ZnSeO4, relaxed
# ΔE_f (raw): -881 meV per atom
data_ZnSeO4
_symmetry_space_group_name_H-M 'P 1'
_symmetry_Int_Tables_number 1
_cell_length_a 4.998
_cell_length_b 4.998
_cell_length_c 6.712
_cell_angle_alpha 90.00
_cell_angle_beta 90.00
_cell_angle_gamma 112.51
loop_
_symmetry_equiv_pos_as_xyz
'x,y,z'
loop_
_atom_site_label
_atom_site_type_symbol
_atom_site_fract_x
_atom_site_fract_y
_atom_site_fract_z
_atom_site_occupancy
O1 O 0.758 0.242 0.459 1
O2 O 0.242 0.758 0.541 1
O3 O 0.716 0.777 0.750 1
O4 O 0.284 0.223 0.250 1
O5 O 0.223 0.284 0.750 1
O6 O 0.758 0.242 0.041 1
O7 O 0.777 0.716 0.250 1
O8 O 0.242 0.758 0.959 1
Zn1 Zn 0.000 0.000 0.500 1
Zn2 Zn 0.000 0.000 0.000 1
Se1 Se 0.348 0.652 0.750 1
Se2 Se 0.652 0.348 0.250 1



(2)
# PBE Ti2BiI, relaxed
# ΔE_f (raw): 85 meV per atom
# Energy relative to the lowest polymorph listed for this composition: 0 meV per atom
data_Ti2BiI
_symmetry_space_group_name_H-M 'P 1'
_symmetry_Int_Tables_number 1
_cell_length_a 4.950
_cell_length_b 4.950
_cell_length_c 4.950
_cell_angle_alpha 60.00
_cell_angle_beta 60.00
_cell_angle_gamma 60.00
loop_
_symmetry_equiv_pos_as_xyz
'x,y,z'
loop_
_atom_site_label
_atom_site_type_symbol
_atom_site_fract_x
_atom_site_fract_y
_atom_site_fract_z
_atom_site_occupancy
I1 I 0.000 0.000 0.000 1
Bi1 Bi 0.500 0.500 0.500 1
Ti1 Ti 0.250 0.250 0.250 1
Ti2 Ti 0.750 0.750 0.750 1



(3)
# PBE U2TeH2Se, relaxed
# E_tot: -6.68 eV per atom
data_U2TeH2Se
_symmetry_space_group_name_H-M 'P 1'
_symmetry_Int_Tables_number 1
_cell_length_a 3.903
_cell_length_b 3.903
_cell_length_c 8.231
_cell_angle_alpha 90.00
_cell_angle_beta 90.00
_cell_angle_gamma 120.00
loop_
_symmetry_equiv_pos_as_xyz
'x,y,z'
loop_
_atom_site_label
_atom_site_type_symbol
_atom_site_fract_x
_atom_site_fract_y
_atom_site_fract_z
_atom_site_occupancy
U1 U 0.667 0.333 0.270 1
U2 U 0.333 0.667 0.730 1
H1 H 0.667 0.333 0.745 1
H2 H 0.333 0.667 0.255 1
Te1 Te 0.000 0.000 0.000 1
Se1 Se 0.000 0.000 0.500 1



(4)
# PBE Ce2PtN, relaxed
# ΔE_f (raw): -846 meV per atom
# Energy relative to the lowest polymorph listed for this composition: 253 meV per atom
data_Ce2PtN
_symmetry_space_group_name_H-M 'P 1'
_symmetry_Int_Tables_number 1
_cell_length_a 3.109
_cell_length_b 3.109
_cell_length_c 7.247
_cell_angle_alpha 90.00
_cell_angle_beta 90.00
_cell_angle_gamma 90.00
loop_
_symmetry_equiv_pos_as_xyz
'x,y,z'
loop_
_atom_site_label
_atom_site_type_symbol
_atom_site_fract_x
_atom_site_fract_y
_atom_site_fract_z
_atom_site_occupancy
Ce1 Ce 0.000 0.000 0.795 1
Ce2 Ce 0.000 0.000 0.205 1
N1 N 0.500 0.500 0.000 1
Pt1 Pt 0.500 0.500 0.500 1



(5)
# PBE Li2La2Sb2N, relaxed
# ΔE_f (raw): -920 meV per atom
data_Li2La2Sb2N
_symmetry_space_group_name_H-M 'P 1'
_symmetry_Int_Tables_number 1
_cell_length_a 4.696
_cell_length_b 4.696
_cell_length_c 8.424
_cell_angle_alpha 106.18
_cell_angle_beta 106.18
_cell_angle_gamma 90.00
loop_
_symmetry_equiv_pos_as_xyz
'x,y,z'
loop_
_atom_site_label
_atom_site_type_symbol
_atom_site_fract_x
_atom_site_fract_y
_atom_site_fract_z
_atom_site_occupancy
La1 La 0.855 0.855 0.711 1
La2 La 0.145 0.145 0.289 1
Li1 Li 0.500 0.000 0.000 1
Li2 Li 0.000 0.500 0.000 1
Sb1 Sb 0.629 0.629 0.258 1
Sb2 Sb 0.371 0.371 0.742 1
N1 N 0.000 0.000 0.000 1



(6)
# PBE CaRe2Pb, relaxed
# Formation energy: 0.9516 eV per atom
data_CaRe2Pb
_symmetry_space_group_name_H-M 'P 1'
_symmetry_Int_Tables_number 1
_cell_length_a 5.814
_cell_length_b 5.814
_cell_length_c 2.875
_cell_angle_alpha 78.62
_cell_angle_beta 78.62
_cell_angle_gamma 120.14
loop_
_symmetry_equiv_pos_as_xyz
'x,y,z'
loop_
_atom_site_label
_atom_site_type_symbol
_atom_site_fract_x
_atom_site_fract_y
_atom_site_fract_z
_atom_site_occupancy
Pb1 Pb 0.000 0.500 0.500 1
Re1 Re 0.500 0.500 0.000 1
Re2 Re 0.000 0.000 0.000 1
Ca1 Ca 0.500 0.000 0.500 1